A relaxed structure of MnPPb3. Source: the Alexandria database, functional PBE.

The structure in POSCAR format:
```
MnPPb3
1.0
5.369 0.000 0.000
0.000 5.369 0.000
0.000 0.000 5.369
Mn P Pb
1 1 3
direct
0.000 0.000 0.000
0.500 0.500 0.500
0.000 0.500 0.500
0.500 0.000 0.500
0.500 0.500 0.000
```

Results
Its volume is 154.80 Å³ per cell. Its energy above the lowest structure with this stoichiometry is 695.9 meV per atom.